{
  "formula": "BaCrNi2O",
  "functional": "PBE+U",
  "state": "relaxed",
  "lattice": [[4.651, 0.000, 0.000], [0.000, 4.651, 0.000], [0.000, 0.000, 4.015]],
  "species": ["Ni", "Ni", "Ba", "O", "Cr"],
  "fractional_positions": [[0.000, 0.500, 0.000], [0.500, 0.000, 0.000], [0.500, 0.500, 0.500], [0.000, 0.000, 0.000], [0.000, 0.000, 0.500]],
  "e_tot_ev_per_cell": -17.2,
  "space_group": "P4/mmm"
}